Run i
Below is a geometry-optimized FeReAs2 structure, with properties calculated at the PBE-GGA level.

```
FeReAs2
1.0
-7.643 -4.565 4.822
-7.514 -6.309 2.499
-5.782 -6.798 4.782
As Re Fe
2 1 1
Cartesian
-0.564 -0.476 0.326
-4.628 -3.906 2.675
-15.878 -13.401 9.178
-10.339 -8.726 5.976
```

Summary:
density of states at the Fermi level	3.2	states/eV/cell



Run ii
Below is a geometry-optimized FeReAs2 structure, with properties calculated at the PBE-GGA level.

```
FeReAs2
1.0
3.236 0.000 0.000
0.000 3.236 0.000
0.000 0.000 5.652
As Fe Re
2 1 1
Cartesian
0.000 0.000 5.485
1.618 1.618 1.790
0.000 0.000 2.504
1.618 1.618 4.351
```

Summary:
density of states at the Fermi level	3.2	states/eV/cell



Run iii
Below is a geometry-optimized FeReAs2 structure, with properties calculated at the PBE-GGA level.

```
FeReAs2
1.0
-0.293 -0.909 2.615
0.350 -1.983 -1.922
9.658 0.491 1.254
Re As Fe
1 2 1
Cartesian
7.071 -1.088 1.261
3.025 -1.294 0.735
9.159 0.465 1.189
4.948 0.251 0.643
```

Summary:
density of states at the Fermi level	3.2	states/eV/cell



Run iv
Below is a geometry-optimized FeReAs2 structure, with properties calculated at the PBE-GGA level.

```
FeReAs2
1.0
4.255 -0.017 -0.170
3.169 2.840 -0.170
0.866 0.329 4.859
Re Fe As
1 1 2
Cartesian
2.072 0.788 1.130
6.217 2.364 3.389
4.230 1.608 2.240
7.339 2.790 -0.322
```

Summary:
density of states at the Fermi level	3.8	states/eV/cell



What should be chosen as the least stable of them? Choose run iii.



Run i
Below is a geometry-optimized Fe2ReAs structure, with properties calculated at the PBE-GGA level.

```
Fe2ReAs
1.0
-2.219 3.573 -0.019
-4.001 -0.003 1.296
-1.035 1.851 3.631
Fe Re As
2 1 1
Cartesian
-1.814 1.355 1.227
0.000 0.000 0.000
-5.441 4.066 3.681
-3.627 2.711 2.454
```

Summary:
density of states at the Fermi level	3.9	states/eV/cell



Run ii
Below is a geometry-optimized Fe2ReAs structure, with properties calculated at the PBE-GGA level.

```
Fe2ReAs
1.0
-1.644 4.167 -1.973
-3.886 2.244 -1.955
-2.113 2.489 2.600
As Fe Re
1 2 1
Cartesian
-1.911 2.225 -0.332
-3.875 4.510 -0.765
-5.477 6.350 -3.828
-5.733 6.674 -0.996
```

Summary:
density of states at the Fermi level	3.9	states/eV/cell



Run iii
Below is a geometry-optimized Fe2ReAs structure, with properties calculated at the PBE-GGA level.

```
Fe2ReAs
1.0
2.819 0.000 0.000
0.000 3.709 0.000
0.000 0.000 4.991
Fe Re As
2 1 1
Cartesian
0.000 0.000 0.025
0.000 0.000 2.471
1.410 1.855 1.248
1.410 1.855 3.743
```

Summary:
density of states at the Fermi level	4.5	states/eV/cell



Run iv
Below is a geometry-optimized Fe2ReAs structure, with properties calculated at the PBE-GGA level.

```
Fe2ReAs
1.0
3.821 0.000 0.000
0.000 3.736 0.000
0.000 0.000 3.736
As Fe Re
1 2 1
Cartesian
1.910 0.000 1.868
0.000 0.000 0.000
0.000 1.868 1.868
1.910 1.868 0.000
```

Summary:
density of states at the Fermi level	3.9	states/eV/cell



What should be chosen as the least stable of them? Choose run iv.



Run i
Below is a geometry-optimized Fe2ReAs structure, with properties calculated at the PBE-GGA level.

```
Fe2ReAs
1.0
0.000 2.957 2.957
2.957 0.000 2.957
2.957 2.957 0.000
Re Fe As
1 2 1
Cartesian
2.957 2.957 2.957
1.479 1.479 1.479
4.436 4.436 4.436
0.000 0.000 0.000
```

Summary:
density of states at the Fermi level	3.4	states/eV/cell



Run ii
Below is a geometry-optimized Fe2ReAs structure, with properties calculated at the PBE-GGA level.

```
Fe2ReAs
1.0
3.029 0.000 0.000
0.000 3.029 0.000
0.000 0.000 5.723
Fe Re As
2 1 1
Cartesian
0.000 0.000 0.039
1.514 1.514 1.310
0.000 0.000 2.847
1.514 1.514 4.388
```

Summary:
density of states at the Fermi level	3.4	states/eV/cell



Run iii
Below is a geometry-optimized Fe2ReAs structure, with properties calculated at the PBE-GGA level.

```
Fe2ReAs
1.0
-3.570 -2.466 1.112
1.447 -3.737 1.999
0.955 4.307 0.775
Re As Fe
1 1 2
Cartesian
0.670 -1.266 2.165
-1.838 -0.630 1.721
-1.061 -3.102 1.555
0.000 0.000 0.000
```

Summary:
density of states at the Fermi level	5.8	states/eV/cell



What should be chosen as the least stable of them? Choose run i.



Run i
Below is a geometry-optimized Fe2ReAs structure, with properties calculated at the PBE-GGA level.

```
Fe2ReAs
1.0
-0.512 1.942 -4.368
-2.955 -2.356 -2.972
0.195 2.170 4.286
Fe Re As
2 1 1
Cartesian
-1.058 1.948 -1.947
-0.047 -0.006 -0.099
-1.690 -0.202 -3.577
-2.210 -0.192 -1.100
```

Summary:
density of states at the Fermi level	3.8	states/eV/cell



Run ii
Below is a geometry-optimized Fe2ReAs structure, with properties calculated at the PBE-GGA level.

```
Fe2ReAs
1.0
8.106 0.001 0.001
7.640 2.708 0.001
7.640 1.314 2.367
Fe As Re
2 1 1
Cartesian
11.612 1.998 1.176
0.082 0.014 0.008
17.540 3.018 1.777
5.847 1.006 0.592
```

Summary:
density of states at the Fermi level	4.8	states/eV/cell



What should be chosen as the least stable of them? Choose run i.



Run i
Below is a geometry-optimized Fe2ReAs structure, with properties calculated at the PBE-GGA level.

```
Fe2ReAs
1.0
-2.458 1.688 0.595
-1.697 -1.216 -3.562
-1.754 -3.239 1.941
Fe Re As
2 1 1
Cartesian
-2.078 0.236 -1.483
0.000 0.000 0.000
-2.106 -0.776 1.268
-1.726 -2.227 -0.810
```

Summary:
density of states at the Fermi level	3.9	states/eV/cell



Run ii
Below is a geometry-optimized Fe2ReAs structure, with properties calculated at the PBE-GGA level.

```
Fe2ReAs
1.0
2.686 0.001 0.000
-0.933 2.519 0.000
0.000 0.000 8.311
Fe Re As
2 1 1
Cartesian
0.876 1.260 1.996
0.000 0.000 0.077
0.000 0.000 4.021
0.876 1.260 6.372
```

Summary:
density of states at the Fermi level	3.1	states/eV/cell



Run iii
Below is a geometry-optimized Fe2ReAs structure, with properties calculated at the PBE-GGA level.

```
Fe2ReAs
1.0
5.316 0.000 0.000
0.000 5.316 0.000
2.658 2.658 5.091
As Fe Re
2 4 2
Cartesian
2.658 5.316 2.545
2.658 2.658 0.000
6.645 6.636 3.818
1.338 3.987 1.273
3.987 3.996 3.818
3.978 1.329 1.273
5.316 2.658 2.545
0.000 0.000 0.000
```

Summary:
density of states at the Fermi level	8.2	states/eV/cell



Run iv
Below is a geometry-optimized Fe2ReAs structure, with properties calculated at the PBE-GGA level.

```
Fe2ReAs
1.0
2.719 0.403 0.000
-0.402 2.719 0.000
0.000 0.000 6.597
Fe As Re
2 1 1
Cartesian
0.000 0.000 6.472
0.000 0.000 3.424
1.159 1.561 4.948
1.159 1.561 1.649
```

Summary:
density of states at the Fermi level	3.0	states/eV/cell



What should be chosen as the least stable of them? Choose run iii.



Run i
Below is a geometry-optimized Fe2ReAs structure, with properties calculated at the PBE-GGA level.

```
Fe2ReAs
1.0
-1.198 -1.636 3.611
-1.869 -1.559 -1.326
3.086 -3.300 -0.471
Re Fe As
1 2 1
Cartesian
-0.932 -4.144 2.564
2.775 -3.412 -0.624
-0.058 -1.841 1.522
0.731 -4.463 0.596
```

Summary:
density of states at the Fermi level	2.9	states/eV/cell



Run ii
Below is a geometry-optimized Fe2ReAs structure, with properties calculated at the PBE-GGA level.

```
Fe2ReAs
1.0
4.608 -0.009 0.000
-1.883 4.206 0.000
0.000 0.000 2.770
Fe Re As
2 1 1
Cartesian
1.363 2.098 0.000
0.000 0.000 0.000
2.304 -0.005 1.385
-0.941 2.103 1.385
```

Summary:
density of states at the Fermi level	4.9	states/eV/cell



What should be chosen as the least stable of them? Choose run ii.



Run i
Below is a geometry-optimized Fe2Re2As structure, with properties calculated at the PBE-GGA level.

```
Fe2Re2As
1.0
7.245 0.000 0.000
0.000 7.245 0.000
0.000 0.000 2.685
Fe Re As
4 4 2
Cartesian
2.711 0.911 1.343
4.533 6.334 1.343
6.334 2.711 1.343
0.911 4.533 1.343
4.804 1.181 0.000
1.181 2.441 0.000
6.063 4.804 0.000
2.441 6.063 0.000
0.000 0.000 0.000
3.622 3.622 0.000
```

Summary:
density of states at the Fermi level	7.9	states/eV/cell



Run ii
Below is a geometry-optimized Fe2Re2As structure, with properties calculated at the PBE-GGA level.

```
Fe2Re2As
1.0
-0.983 0.110 3.043
0.478 -3.152 0.268
6.156 -0.377 3.685
Fe Re As
2 2 1
Cartesian
2.460 -0.894 4.192
3.191 -2.525 2.804
1.092 -1.281 2.081
4.558 -2.138 4.915
0.000 0.000 0.000
```

Summary:
density of states at the Fermi level	3.7	states/eV/cell



What should be chosen as the least stable of them? Choose run ii.



Run i
Below is a geometry-optimized Fe3AsRh structure, with properties calculated at the PBE-GGA level.

```
Fe3AsRh
1.0
4.336 0.000 0.000
0.000 4.336 0.000
0.000 0.000 4.336
Rh Fe As
1 3 1
Cartesian
2.168 2.168 2.168
0.000 2.168 0.000
0.000 0.000 2.168
2.168 0.000 0.000
0.000 0.000 0.000
```

Summary:
density of states at the Fermi level	4.5	states/eV/cell



Run ii
Below is a geometry-optimized Fe3AsRh structure, with properties calculated at the PBE-GGA level.

```
Fe3AsRh
1.0
-1.078 3.822 2.332
-2.956 1.194 -3.324
-3.363 -2.275 2.173
Fe Rh As
3 1 1
Cartesian
-1.682 -1.138 1.087
-1.478 0.597 -1.662
-0.539 1.911 1.166
0.000 0.000 0.000
-3.699 1.371 0.591
```

Summary:
density of states at the Fermi level	5.8	states/eV/cell



What should be chosen as the least stable of them? Choose run ii.